# 1
Material: LiCuRu2
Method: DFT, PBE
State: optimized geometry

Cell: 2.765 2.765 7.051 Å, 90.00 90.00 90.00°
Sites, in units of the cell vectors:
1 Cu 0.000 0.000 0.505
2 Li 0.500 0.500 0.739
3 Ru 0.000 0.000 0.010
4 Ru 0.500 0.500 0.245

- E above lowest polymorph: 2.4 kJ per mole of atoms
- Calculated formation energy: 0.164 eV/atom

***

# 2
Material: ScFeAs4
Method: DFT, PBE
State: optimized geometry

Cell: 5.470 5.470 5.470 Å, 60.00 60.00 60.00°
Sites, in units of the cell vectors:
1 Sc 0.000 0.000 0.000
2 Fe 0.750 0.750 0.750
3 As 0.873 0.376 0.376
4 As 0.376 0.376 0.873
5 As 0.376 0.873 0.376
6 As 0.376 0.376 0.376

- Calculated formation energy: 0.307 eV/atom

***

# 3
Material: Ho2TiGa
Method: DFT, PBE
State: optimized geometry

Cell: 3.406 3.406 8.071 Å, 90.00 90.00 90.00°
Sites, in units of the cell vectors:
1 Ho 0.000 0.000 0.760
2 Ho 0.000 0.000 0.240
3 Ga 0.500 0.500 0.000
4 Ti 0.500 0.500 0.500

- E above lowest polymorph: 0.0 kJ per mole of atoms
- Calculated formation energy: -0.155 eV/atom

***

# 4
Material: LaPmTl
Method: DFT, PBE
State: optimized geometry

Cell: 5.036 5.036 8.031 Å, 90.00 90.00 90.00°
Sites, in units of the cell vectors:
1 Pm 0.000 0.500 0.732
2 Pm 0.500 0.000 0.268
3 Tl 0.500 0.500 0.000
4 Tl 0.000 0.000 0.000
5 La 0.500 0.000 0.719
6 La 0.000 0.500 0.281

- E above lowest polymorph: 20.9 kJ per mole of atoms
- Calculated formation energy: -0.065 eV/atom

***

# 5
Material: USnRh
Method: DFT, PBE
State: optimized geometry

Cell: 3.162 4.753 4.753 Å, 120.00 90.00 90.00°
Sites, in units of the cell vectors:
1 Rh 0.167 0.667 0.333
2 U 0.667 0.333 0.667
3 Sn 0.167 0.000 0.000

- Calculated formation energy: -0.315 eV/atom

***

# 6
Material: TlSbCl6
Method: DFT, PBE
State: optimized geometry

Cell: 7.069 7.069 11.413 Å, 87.52 87.52 70.71°
Sites, in units of the cell vectors:
1 Tl 0.001 0.999 0.750
2 Tl 0.999 0.001 0.250
3 Sb 0.000 0.500 0.000
4 Sb 0.500 0.000 0.500
5 Cl 0.269 0.589 0.902
6 Cl 0.731 0.411 0.098
7 Cl 0.411 0.731 0.598
8 Cl 0.589 0.269 0.402
9 Cl 0.857 0.493 0.813
10 Cl 0.143 0.507 0.187
11 Cl 0.507 0.143 0.687
12 Cl 0.493 0.857 0.313
13 Cl 0.147 0.197 0.488
14 Cl 0.853 0.803 0.512
15 Cl 0.803 0.853 0.012
16 Cl 0.197 0.147 0.988

- Formation energy without anion corrections: -78 kJ/mol of atoms
- E above lowest polymorph: 0.0 kJ per mole of atoms

***

# 7
Material: Y3Si12Ru4
Method: DFT, PBE
State: optimized geometry

Cell: 10.125 10.125 8.144 Å, 90.00 90.00 132.60°
Sites, in units of the cell vectors:
1 Ru 0.831 0.169 0.000
2 Ru 0.669 0.331 0.500
3 Ru 0.169 0.831 0.000
4 Ru 0.331 0.669 0.500
5 Ru 0.373 0.373 0.873
6 Ru 0.127 0.127 0.373
7 Ru 0.873 0.873 0.627
8 Ru 0.627 0.627 0.127
9 Si 0.705 0.295 0.000
10 Si 0.795 0.205 0.500
11 Si 0.295 0.705 0.000
12 Si 0.205 0.795 0.500
13 Si 0.167 0.167 0.667
14 Si 0.333 0.333 0.167
15 Si 0.667 0.667 0.833
16 Si 0.833 0.833 0.333
17 Si 0.378 0.613 0.772
18 Si 0.122 0.887 0.272
19 Si 0.113 0.878 0.728
20 Si 0.387 0.622 0.228
21 Si 0.622 0.387 0.228
22 Si 0.878 0.113 0.728
23 Si 0.887 0.122 0.272
24 Si 0.613 0.378 0.772
25 Si 0.155 0.389 0.994
26 Si 0.345 0.111 0.494
27 Si 0.889 0.655 0.506
28 Si 0.611 0.845 0.006
29 Si 0.845 0.611 0.006
30 Si 0.655 0.889 0.506
31 Si 0.111 0.345 0.494
32 Si 0.389 0.155 0.994
33 Y 0.000 0.000 0.000
34 Y 0.500 0.500 0.500
35 Y 0.997 0.497 0.750
36 Y 0.503 0.003 0.250
37 Y 0.003 0.503 0.250
38 Y 0.497 0.997 0.750

- Formation energy without anion corrections: -62 kJ/mol of atoms

***

# 8
Material: Dy12TcBi6
Method: DFT, PBE
State: optimized geometry

Cell: 8.657 8.657 8.657 Å, 99.54 99.54 99.54°
Sites, in units of the cell vectors:
1 Dy 0.797 0.587 0.459
2 Dy 0.459 0.797 0.587
3 Dy 0.587 0.459 0.797
4 Dy 0.203 0.413 0.541
5 Dy 0.541 0.203 0.413
6 Dy 0.413 0.541 0.203
7 Dy 0.056 0.999 0.311
8 Dy 0.001 0.689 0.944
9 Dy 0.689 0.944 0.001
10 Dy 0.944 0.001 0.689
11 Dy 0.999 0.311 0.056
12 Dy 0.311 0.056 0.999
13 Tc 0.000 0.000 0.000
14 Bi 0.680 0.883 0.348
15 Bi 0.652 0.320 0.117
16 Bi 0.117 0.652 0.320
17 Bi 0.320 0.117 0.652
18 Bi 0.348 0.680 0.883
19 Bi 0.883 0.348 0.680

- Calculated formation energy: -0.409 eV/atom

***

# 9
Material: ThMgOs
Method: DFT, PBE
State: optimized geometry

Cell: 3.380 3.380 6.505 Å, 105.06 105.06 90.00°
Sites, in units of the cell vectors:
1 Mg 0.318 0.318 0.636
2 Os 0.947 0.947 0.895
3 Th 0.585 0.585 0.169

- Calculated formation energy: -0.014 eV/atom

***

# 10
Material: InSb2Os
Method: DFT, PBE
State: optimized geometry

Cell: 3.201 3.201 8.782 Å, 90.00 90.00 90.00°
Sites, in units of the cell vectors:
1 In 0.000 0.000 0.548
2 Os 0.500 0.500 0.754
3 Sb 0.000 0.000 0.934
4 Sb 0.500 0.500 0.264

- Formation energy without anion corrections: 29 kJ/mol of atoms

***

# 11
Material: RuSeS2Cl
Method: DFT, PBE
State: optimized geometry

Cell: 4.867 4.867 4.760 Å, 90.00 90.00 90.00°
Sites, in units of the cell vectors:
1 Ru 0.500 0.500 0.500
2 S 0.000 0.500 0.000
3 S 0.500 0.000 0.000
4 Se 0.000 0.000 0.000
5 Cl 0.000 0.000 0.500

- Formation energy without anion corrections: 107 kJ/mol of atoms
- E above lowest polymorph: 66.1 kJ per mole of atoms

***

# 12
Material: Na2ZrO
Method: DFT, PBE
State: optimized geometry

Cell: 9.965 9.965 7.338 Å, 47.23 47.23 90.00°
Sites, in units of the cell vectors:
1 Na 0.253 0.125 0.250
2 Na 0.497 0.625 0.250
3 Na 0.375 0.747 0.750
4 Na 0.875 0.503 0.750
5 O 0.500 0.500 0.000
6 O 0.250 0.750 0.500
7 Zr 0.000 0.000 0.000
8 Zr 0.750 0.250 0.500

- Formation energy without anion corrections: -61 kJ/mol of atoms

***

no.,ρ (Mg/m³)
1,8.40
2,5.75
3,7.94
4,7.96
5,12.34
6,3.33
7,5.45
8,8.87
9,10.73
10,10.12
11,4.12
12,2.50